Record 1
9
Lattice="-3.093 -5.617 -2.639 5.553 3.323 -2.491 3.514 -3.514 6.923" Properties=species:S:1:pos:R:3 comment="La2Tb3Ho4 (PBE, relaxed)" magnetic_moment_mub_per_cell=0.003 mass_density_g_cm3=7.7 delta_e_f_kj_per_mol_fu=158.8 relative_energy_mev_per_atom=131 pbc="T T T"
Tb -1.547 -2.808 -1.320
Tb 2.776 1.662 -1.246
Tb 0.000 0.000 0.000
Ho 0.542 -3.039 1.618
Ho 2.946 -5.339 0.131
Ho 3.028 -0.468 1.661
Ho 5.432 -2.768 0.174
La 2.320 -2.218 -1.564
La 3.654 -3.589 3.356

---

Record 2
40
Lattice="-1.551 -0.371 3.048 -5.650 -6.583 -3.678 12.204 -13.057 4.622" Properties=species:S:1:pos:R:3 comment="Ti11CuP8 (PBE, relaxed)" magnetic_moment_mub_per_cell=0.005 mass_density_g_cm3=4.7 delta_e_f_kj_per_mol_fu=-2138.9 pbc="T T T"
P 1.146 -4.315 0.058
P 3.905 -8.913 2.844
P 10.103 -11.894 3.694
P -3.549 -7.745 -2.750
P 6.695 -18.212 3.131
P -2.219 -5.435 0.150
P -1.693 -1.798 0.860
P 5.407 -15.324 0.886
P -0.634 -8.725 -1.385
P 7.221 -14.576 3.841
P 4.406 -12.114 0.767
P 1.097 -11.098 1.148
P 7.187 -10.914 2.329
P 3.516 -5.256 3.091
P 2.147 -7.526 0.176
P 1.486 -14.755 0.901
Ti 3.277 -9.820 0.472
Ti -3.057 -5.414 -2.216
Ti 2.341 -12.762 -0.363
Ti 4.573 -17.285 2.164
Ti 6.624 -13.320 1.750
Ti 0.208 -11.001 -1.234
Ti 4.825 -11.241 3.028
Ti 6.346 -8.639 2.178
Ti 3.601 -14.111 2.056
Ti -2.705 -7.821 -0.388
Ti 3.274 -3.585 1.230
Ti 0.000 0.000 0.000
Ti 9.611 -14.225 3.159
Ti 0.177 -8.770 0.963
Ti 7.480 -16.166 1.838
Ti 3.279 -16.054 -0.286
Ti 7.707 -12.190 4.380
Ti 1.400 -5.900 1.936
Ti 0.428 -2.725 1.827
Ti 4.212 -6.878 1.306
Ti -0.071 -6.320 -0.806
Ti -0.926 -3.474 -0.895
Cu -3.601 -3.477 -0.315
Cu 5.326 -6.714 3.835

---

Record 3
3
Lattice="0.000 3.029 3.029 3.029 0.000 3.029 3.029 3.029 0.000" Properties=species:S:1:pos:R:3 comment="CdReRh (PBE, relaxed)" magnetic_moment_mub_per_cell=0.000 mass_density_g_cm3=12.0 delta_e_f_kj_per_mol_fu=181.8 relative_energy_mev_per_atom=697 pbc="T T T"
Cd 0.000 0.000 0.000
Re 3.029 3.029 3.029
Rh 1.514 1.514 1.514

---

Record 4
5
Lattice="-4.847 1.672 -0.545 -1.221 -2.236 3.999 1.153 4.228 2.716" Properties=species:S:1:pos:R:3 comment="BaLi2OsW (PBE, relaxed)" magnetic_moment_mub_per_cell=1.150 mass_density_g_cm3=6.9 delta_e_f_kj_per_mol_fu=448.8 pbc="T T T"
W 0.000 0.000 0.000
Os -0.611 -1.118 1.999
Li -2.423 0.836 -0.273
Li 0.577 2.114 1.358
Ba -2.458 1.832 3.085

---

Record 5
9
Lattice="7.193 0.000 0.000 -3.596 6.229 0.000 0.000 0.000 3.600" Properties=species:S:1:pos:R:3 comment="ZrGaPt (PBE, relaxed)" magnetic_moment_mub_per_cell=0.000 mass_density_g_cm3=11.0 delta_e_f_kj_per_mol_fu=-283.5 pbc="T T T"
Ga -0.954 1.652 0.000
Ga 1.908 0.000 0.000
Ga 2.642 4.577 0.000
Pt 0.000 4.153 0.000
Pt 3.596 2.076 0.000
Pt 0.000 0.000 1.800
Zr -2.174 3.765 1.800
Zr 1.423 2.464 1.800
Zr 4.347 0.000 1.800

---

Record 6
11
Lattice="7.214 -0.094 0.015 -3.647 6.225 0.015 -1.325 -2.278 7.516" Properties=species:S:1:pos:R:3 comment="Tl2CuTe6As2 (PBE, relaxed)" magnetic_moment_mub_per_cell=0.000 mass_density_g_cm3=6.9 formation_energy_uncorrected_ev_per_atom=-0.030 pbc="T T T"
Tl 5.335 1.000 0.015
Tl -1.768 5.132 0.015
Te 1.608 -1.131 5.393
Te 4.020 3.014 2.154
Te 0.633 4.985 2.154
Te 1.778 3.055 5.234
Te 0.464 0.798 2.313
Te -1.778 0.839 5.393
Cu -0.663 -1.139 3.758
As 3.040 0.810 3.773
As -0.798 3.043 3.773

---

Record 7
10
Lattice="-1.182 6.521 -3.573 -7.382 -0.596 1.354 0.585 2.440 4.261" Properties=species:S:1:pos:R:3 comment="La2RuPb2 (PBE, relaxed)" magnetic_moment_mub_per_cell=0.000 mass_density_g_cm3=9.4 delta_e_f_kj_per_mol_fu=-110.9 pbc="T T T"
Pb -6.740 1.811 -0.113
Pb -1.824 4.114 -2.106
Pb -5.766 5.198 -2.186
Pb -2.798 0.727 -0.032
La -3.125 6.436 -0.388
La -6.627 5.094 0.861
La -1.352 3.271 1.182
La -4.854 1.929 2.431
Ru 0.000 0.000 0.000
Ru -4.282 2.963 -1.109

---

Record 8
5
Lattice="-2.446 0.555 -4.608 0.785 -5.084 -1.029 -4.574 -1.169 2.288" Properties=species:S:1:pos:R:3 comment="VSb3Pt (PBE, relaxed)" magnetic_moment_mub_per_cell=3.270 mass_density_g_cm3=7.0 formation_energy_uncorrected_ev_per_atom=0.740 relative_energy_mev_per_atom=231 pbc="T T T"
Sb 0.393 -2.542 -0.515
Sb -1.223 0.278 -2.304
Sb -2.287 -0.585 1.144
V -3.118 -2.849 -1.675
Pt 0.000 0.000 0.000

---

Record 9
4
Lattice="-3.368 -2.647 -0.884 0.540 -3.398 -2.701 -0.049 -4.079 1.580" Properties=species:S:1:pos:R:3 comment="ZnTc2Mo (PBE, relaxed)" magnetic_moment_mub_per_cell=0.000 mass_density_g_cm3=10.0 delta_e_f_kj_per_mol_fu=91.7 pbc="T T T"
Tc 0.000 0.000 0.000
Tc -0.720 -2.531 -0.502
Mo -1.439 -5.062 -1.003
Zn -2.159 -7.593 -1.505

---

Record 10
4
Lattice="5.434 0.000 0.000 2.717 4.706 0.000 2.717 1.569 4.437" Properties=species:S:1:pos:R:3 comment="PmTmPuIn (PBE, relaxed)" magnetic_moment_mub_per_cell=6.644 mass_density_g_cm3=9.8 delta_e_f_kj_per_mol_fu=7.3 pbc="T T T"
In 0.000 0.000 0.000
Tm 2.717 1.569 1.109
Pm 5.434 3.137 2.218
Pu 8.151 4.706 3.328

---

Record 11
8
Lattice="-2.593 1.725 -6.277 -5.413 -3.699 -2.356 -6.901 2.315 0.476" Properties=species:S:1:pos:R:3 comment="HfGeTe6 (PBE, relaxed)" magnetic_moment_mub_per_cell=0.000 mass_density_g_cm3=6.4 formation_energy_uncorrected_ev_per_atom=-0.170 pbc="T T T"
Ge 0.000 0.000 0.000
Hf -7.453 0.171 -4.079
Te -4.620 0.324 -4.430
Te -7.471 -2.665 -4.249
Te -7.436 3.006 -3.908
Te -10.286 0.017 -3.727
Te -7.480 0.498 -6.953
Te -7.426 -0.157 -1.204

---

Record 12
12
Lattice="-0.436 4.905 3.571 2.437 -2.926 4.317 5.943 2.095 -1.935" Properties=species:S:1:pos:R:3 comment="CeGaFe (PBE, relaxed)" magnetic_moment_mub_per_cell=0.000 mass_density_g_cm3=7.6 delta_e_f_kj_per_mol_fu=-131.3 pbc="T T T"
Ce 4.435 1.299 1.187
Ce 0.679 3.384 2.937
Ce 7.265 0.691 3.015
Ce 3.509 2.775 4.765
Fe 2.258 1.091 4.321
Fe 6.019 -1.000 2.581
Fe 5.687 2.983 1.631
Fe 1.925 5.075 3.371
Ga 4.189 -0.328 4.073
Ga 6.369 3.861 3.875
Ga 1.575 0.213 2.078
Ga 3.755 4.402 1.879

---

Record 13
11
Lattice="-1.739 2.844 0.041 -3.493 -2.055 -5.629 -1.561 -2.999 6.337" Properties=species:S:1:pos:R:3 comment="Pm3Co4C4 (PBE, relaxed)" magnetic_moment_mub_per_cell=0.003 mass_density_g_cm3=8.5 delta_e_f_kj_per_mol_fu=306.9 pbc="T T T"
C -1.652 0.962 -1.241
C -3.272 -0.076 2.059
C -3.580 -0.172 -4.347
C -3.520 -2.134 -1.310
Pm -0.964 -0.601 0.818
Pm -1.747 -1.028 -2.815
Pm -5.829 -1.609 -0.069
Co -4.665 -0.861 -2.556
Co -3.446 -0.144 -0.592
Co -2.128 -1.349 3.304
Co -3.347 -2.066 1.340

---

Record 14
5
Lattice="5.377 0.000 0.000 0.000 5.377 0.000 0.000 0.000 4.251" Properties=species:S:1:pos:R:3 comment="CaP2PbO (PBE, relaxed)" magnetic_moment_mub_per_cell=1.716 mass_density_g_cm3=4.4 formation_energy_uncorrected_ev_per_atom=0.227 relative_energy_mev_per_atom=319 pbc="T T T"
O 0.000 0.000 2.125
P 2.688 0.000 0.000
P 0.000 2.688 0.000
Pb 2.688 2.688 2.125
Ca 0.000 0.000 0.000

---

Record 15
5
Lattice="-2.105 -0.208 -4.891 2.976 -3.314 -1.140 -3.473 -3.688 1.652" Properties=species:S:1:pos:R:3 comment="La2TiReRu (PBE, relaxed)" magnetic_moment_mub_per_cell=0.033 mass_density_g_cm3=7.8 delta_e_f_kj_per_mol_fu=401.0 pbc="T T T"
Ti 1.488 -1.657 -0.570
Ru 0.000 0.000 0.000
Re -1.301 -3.605 -2.189
La -1.737 -1.844 0.826
La -1.053 -0.104 -2.445

---

Record 16
14
Lattice="-2.462 4.150 -2.228 -4.241 0.055 3.203 5.191 4.834 5.345" Properties=species:S:1:pos:R:3 comment="AlTlPd5 (PBE, relaxed)" magnetic_moment_mub_per_cell=0.000 mass_density_g_cm3=10.3 delta_e_f_kj_per_mol_fu=-188.8 relative_energy_mev_per_atom=112 pbc="T T T"
Pd -1.554 5.591 2.880
Pd 0.042 3.448 3.441
Pd -4.473 2.430 1.194
Pd 2.473 3.855 5.059
Pd -1.540 4.494 0.255
Pd 0.403 2.646 0.785
Pd -1.915 6.393 5.535
Pd -3.986 5.184 1.261
Pd 0.028 4.546 6.065
Pd 2.961 6.609 5.127
Al 0.643 5.961 4.187
Al -2.155 3.078 2.133
Tl 0.000 0.000 0.000
Tl 2.595 2.417 2.673

---

Record 17
8
Lattice="-4.144 -2.202 -5.997 1.626 -7.276 1.548 -3.922 -4.928 -0.314" Properties=species:S:1:pos:R:3 comment="La2CoPd (PBE, relaxed)" magnetic_moment_mub_per_cell=0.000 mass_density_g_cm3=7.7 delta_e_f_kj_per_mol_fu=-62.3 pbc="T T T"
La -3.239 -3.450 -3.447
La -5.195 -11.764 -4.176
La -3.836 -7.475 -1.856
La -0.610 -6.123 -0.046
Pd -4.663 -5.934 -4.267
Pd 0.000 0.000 0.000
Co -1.778 -8.471 -0.495
Co -1.259 -4.739 -2.224

---

Record 18
5
Lattice="4.039 0.000 0.000 0.000 4.039 0.000 0.000 0.000 3.920" Properties=species:S:1:pos:R:3 comment="RhINO2 (PBE, relaxed)" magnetic_moment_mub_per_cell=0.000 mass_density_g_cm3=7.2 formation_energy_uncorrected_ev_per_atom=0.567 pbc="T T T"
O 2.020 0.000 0.000
O 0.000 2.020 0.000
Rh 0.000 0.000 0.000
I 2.020 2.020 1.960
N 0.000 0.000 1.960

---

Record 19
16
Lattice="-5.205 4.399 4.510 -6.297 -5.046 -2.345 6.644 -3.275 3.457" Properties=species:S:1:pos:R:3 comment="Na4Pu3NiSe8 (PBE, relaxed)" magnetic_moment_mub_per_cell=11.978 mass_density_g_cm3=6.3 formation_energy_uncorrected_ev_per_atom=-1.147 pbc="T T T"
Na 0.720 0.562 3.984
Na 0.000 0.000 0.000
Na -2.602 2.199 2.255
Na 3.322 -1.637 1.728
Se -2.654 -4.130 0.965
Se -2.957 -0.386 0.486
Se -2.204 0.208 4.657
Se -5.244 -2.027 3.328
Se 0.827 -5.842 2.772
Se -1.901 -3.536 5.136
Se 0.387 -1.895 2.294
Se -5.685 1.920 2.851
Pu -5.751 -0.324 1.083
Pu 0.173 -4.160 0.556
Pu -2.429 -1.961 2.811
Ni -3.148 -2.523 -1.172

---

Record 20
4
Lattice="5.330 0.000 0.000 2.665 4.616 0.000 2.665 1.539 4.352" Properties=species:S:1:pos:R:3 comment="SmDyTmGa (PBE, relaxed)" magnetic_moment_mub_per_cell=0.443 mass_density_g_cm3=8.6 delta_e_f_kj_per_mol_fu=-38.0 pbc="T T T"
Sm 5.330 3.077 2.176
Tm 7.995 4.616 3.264
Ga 2.665 1.539 1.088
Dy 0.000 0.000 0.000

---

Record 21
12
Lattice="-0.653 6.544 0.851 -2.005 0.917 6.254 10.300 1.075 3.698" Properties=species:S:1:pos:R:3 comment="CsPmCu2Br8 (PBE, relaxed)" magnetic_moment_mub_per_cell=2.151 mass_density_g_cm3=3.8 formation_energy_uncorrected_ev_per_atom=-1.009 pbc="T T T"
Cu 0.482 4.919 5.244
Cu 7.160 3.617 5.559
Br 7.258 6.063 5.095
Br 2.502 5.424 6.276
Br 5.141 3.111 4.528
Br 1.092 5.418 2.881
Br 6.551 3.118 7.923
Br -1.845 5.439 5.204
Br 0.385 2.473 5.708
Br 9.488 3.096 5.600
Cs 5.150 0.538 1.849
Pm 0.000 0.000 0.000

---

Record 22
20
Lattice="-0.089 5.538 1.147 -3.776 1.161 5.326 4.672 1.474 4.469" Properties=species:S:1:pos:R:3 comment="Al2InBO6 (PBE, relaxed)" magnetic_moment_mub_per_cell=0.000 mass_density_g_cm3=4.2 formation_energy_uncorrected_ev_per_atom=-2.384 pbc="T T T"
O 2.512 1.649 5.570
O -0.123 2.050 6.634
O -0.630 1.981 1.438
O 1.257 4.871 7.063
O 0.931 6.123 4.308
O 2.309 3.902 4.396
O -1.501 4.271 6.546
O 0.714 4.801 1.870
O -0.449 3.302 3.879
O 1.437 6.192 9.504
O 0.094 3.372 9.072
O -1.704 6.524 5.372
In -2.327 2.600 5.464
In 3.135 5.573 5.478
Al -0.347 1.678 3.197
Al 0.813 4.491 3.648
Al -0.005 3.682 7.294
Al 1.155 6.496 7.745
B 3.133 2.802 4.910
B -2.325 5.371 6.032